Record 1
ZrBePt2 | PBE-GGA | relaxed

Computed properties:
- symmetry = Pnma (62)
- ΔE_f (meV per atom) = -995
- calculated density (g/cm³) = 13.5
- raw total energy (eV/cell) = -226.70

```
32
Lattice="-1.1479 -1.9053 -4.6405 -5.7795 -2.9195 2.6284 -6.9329 11.1477 -2.8621" Properties=species:S:1:pos:R:3 pbc="T T T"
Pt -5.7338 0.6416 -1.6396
Pt -6.1199 3.4193 -1.3053
Pt -4.2693 -2.6627 -2.1193
Pt -7.2837 10.1511 -3.8042
Pt -6.5766 -3.8282 -1.0700
Pt -10.9388 5.9726 0.1949
Pt -5.2103 -0.8059 -4.0282
Pt -2.9215 0.3503 -5.0691
Pt -8.0227 -0.5147 -0.5987
Pt -8.1265 5.6813 -3.2346
Pt -7.7403 2.9035 -3.5689
Pt -8.6499 7.1288 -0.8460
Pt -9.5910 8.9856 -2.7549
Pt -10.0476 1.7380 -2.5196
Pt -5.8376 6.8375 -4.2755
Pt -3.8127 4.5849 -2.3546
Zr -10.8835 6.4441 -2.8388
Zr -8.8397 4.1726 -0.8680
Zr -2.9768 -0.1213 -2.0354
Zr -5.0205 2.1503 -4.0062
Zr -8.4527 7.7811 -5.2986
Zr -7.9782 -0.0611 -3.6762
Zr -5.4076 -1.4582 0.4244
Zr -5.8821 6.3840 -1.1980
Be -3.9571 2.3293 -1.4690
Be -7.3975 7.9465 -2.7947
Be -7.8867 1.6967 -1.5225
Be -9.9031 3.9935 -3.4052
Be -6.4628 -1.6236 -2.0795
Be -5.9736 4.6262 -3.3517
Be -3.0503 -1.8492 -4.1164
Be -10.8100 8.1720 -0.7578
```



Record 2
ZrBePt2 | PBE-GGA | relaxed

Computed properties:
- symmetry = Pm (6)
- ΔE_f (meV per atom) = -675
- calculated density (g/cm³) = 12.5
- raw total energy (eV/cell) = -27.05

```
4
Lattice="-0.6753 -2.4168 -2.9194 3.3606 0.3077 -1.0322 2.8845 -3.5670 2.2857" Properties=species:S:1:pos:R:3 pbc="T T T"
Zr 3.3694 -1.7181 0.6429
Pt 5.5730 -3.1937 1.3547
Pt 1.0235 -2.0816 -1.0517
Be 4.9714 -3.5716 -0.7315
```



Record 3
Zr2Be16Pt | PBE-GGA | relaxed

Computed properties:
- symmetry = R3m (160)
- ΔE_f (meV per atom) = -324
- calculated density (g/cm³) = 4.6
- raw total energy (eV/cell) = -88.91

```
19
Lattice="5.7368 0.0296 0.6797 0.6074 5.7047 0.6797 0.0327 0.0296 5.7769" Properties=species:S:1:pos:R:3 pbc="T T T"
Pt 5.7695 5.2148 6.4565
Zr 2.1705 1.9618 2.4289
Zr 4.1781 3.7764 4.6756
Be 2.2755 5.7246 4.9821
Be 4.6958 5.7246 2.8193
Be 0.6869 0.6209 0.7687
Be 2.1105 4.0952 6.4455
Be 5.9247 1.6872 4.9821
Be 6.1685 4.0952 2.8193
Be 2.4901 4.8190 2.7866
Be 4.2870 1.6872 6.4455
Be 4.1636 3.7632 1.8196
Be 0.3145 2.8266 0.3520
Be 1.3417 3.7632 4.3412
Be 2.2038 1.9919 5.3258
Be 0.0311 0.0281 2.8655
Be 3.8793 0.9558 4.3412
Be 5.0454 1.9919 2.7866
Be 2.8439 0.0281 0.3520
```



Record 4
ZrBe3Pt | PBE-GGA | relaxed

Computed properties:
- symmetry = Pm-3m (221)
- ΔE_f (meV per atom) = -119
- calculated density (g/cm³) = 7.1
- raw total energy (eV/cell) = -26.36
- ΔE to the lowest computed polymorph (meV per atom) = 0

```
5
Lattice="4.1844 0.0000 0.0000 0.0000 4.1844 0.0000 0.0000 0.0000 4.1844" Properties=species:S:1:pos:R:3 pbc="T T T"
Be 0.0000 0.0000 2.0922
Be 0.0000 2.0922 0.0000
Be 2.0922 0.0000 0.0000
Pt 0.0000 0.0000 0.0000
Zr 2.0922 2.0922 2.0922
```



Record 5
ZrBePt2 | PBE-GGA | relaxed

Computed properties:
- symmetry = Pmmm (47)
- ΔE_f (meV per atom) = -847
- calculated density (g/cm³) = 13.7
- raw total energy (eV/cell) = -27.74

```
4
Lattice="2.8783 0.0000 0.0000 0.0000 2.9059 0.0009 0.0000 2.9044 7.0867" Properties=species:S:1:pos:R:3 pbc="T T T"
Pt 0.0000 2.9014 6.7461
Pt 0.0000 2.9082 3.8843
Zr 1.4392 1.4526 1.7719
Be 1.4392 4.3577 5.3157
```



Record 6
ZrBePt | PBE-GGA | relaxed

Computed properties:
- symmetry = Imm2 (44)
- ΔE_f (meV per atom) = -609
- calculated density (g/cm³) = 10.7
- raw total energy (eV/cell) = -20.14
- ΔE to the lowest computed polymorph (meV per atom) = 237

```
3
Lattice="5.4484 0.0074 -0.0015 3.7450 3.9572 0.0015 -4.4978 -2.2118 2.1361" Properties=species:S:1:pos:R:3 pbc="T T T"
Pt 5.8303 2.5143 0.0000
Be 0.2700 0.1164 0.0000
Zr 3.0932 1.3339 0.0000
```



The highest calculated density belongs to which entry?
number 5



What did the fifth record say?
ZrBePt2 | PBE-GGA | relaxed

Computed properties:
- symmetry = Pmmm (47)
- ΔE_f (meV per atom) = -847
- calculated density (g/cm³) = 13.7
- raw total energy (eV/cell) = -27.74

```
4
Lattice="2.8783 0.0000 0.0000 0.0000 2.9059 0.0009 0.0000 2.9044 7.0867" Properties=species:S:1:pos:R:3 pbc="T T T"
Pt 0.0000 2.9014 6.7461
Pt 0.0000 2.9082 3.8843
Zr 1.4392 1.4526 1.7719
Be 1.4392 4.3577 5.3157
```